Entry 1:
VASP calculation (PBE-GGA) on a geometry-optimized Li5Ru structure.

Lattice parameters (Å, degrees): 10.5940 2.5296 7.0705 90.00 103.87 90.00
Closest atoms and distances in Å follow each position.
Space group Cm (No. 8)
One atom of each set of equivalent atoms:
Li1 0.0000 0.0000 0.0000 [2 per cell]  7 Li 2.53-2.82, 3 Ru 2.80
Li2 0.0730 0.0000 0.6651 [2 per cell]  4 Li 2.53-2.66, 2 Ru 2.77
Li3 0.1675 0.5000 0.3201 [2 per cell]  6 Li 2.53-2.82, 1 Ru 2.64
Li4 0.3183 0.0000 0.6969 [2 per cell]  5 Li 2.53-2.81, 2 Ru 2.72
Li5 0.3940 0.0000 0.2956 [2 per cell]  4 Li 2.53-2.75, 2 Ru 2.75
Ru1 0.2330 0.5000 0.9830 [2 per cell]  2 Ru 2.53, 10 Li 2.64-2.80

## Properties
The formation energy from the elements comes out at 0.10 eV per atom. The energy relative to the lowest polymorph listed for this composition is 0 meV per atom. As for the spin magnetization: 0.00 μB/f.u. The total DFT energy (no corrections) comes out at -3.044 eV/atom.

=====

Entry 2:
VASP calculation (PBE-GGA) on a geometry-optimized LiTa2CdCo structure.

Lattice parameters (Å, degrees): 4.5552 4.5552 4.9660 90.00 90.00 90.00
Closest atoms and distances in Å follow each position.
Space group P4/mmm (No. 123)
One atom of each set of equivalent atoms:
Li1 0.0000 0.0000 0.0000 [1 per cell]  4 Cd 3.22, 8 Ta 3.37
Ta1 0.0000 0.5000 0.5000 [2 per cell]  2 Co 2.28
Cd1 0.5000 0.5000 0.0000 [1 per cell]  2 Co 2.48
Co1 0.5000 0.5000 0.5000 [1 per cell]  4 Ta 2.28, 2 Cd 2.48

## Properties
The formation energy from the elements comes out at 0.78 eV per atom. As for the spin magnetization: 0.00 μB/f.u. The total DFT energy (no corrections) comes out at -5.948 eV/atom.

=====

Entry 3:
VASP calculation (PBE-GGA) on a geometry-optimized Pm12Pt6Cl structure.

Lattice parameters (Å, degrees): 12.8547 12.8547 11.9454 90.00 90.00 120.00
Closest atoms and distances in Å follow each position.
Space group R-3 (No. 148, hexagonal axes)
One atom of each set of equivalent atoms:
Pm1 0.0223 0.8103 0.3892 [18 per cell]  4 Pt 2.84-3.08
Pm2 0.0319 0.8291 0.8788 [18 per cell]  1 Cl 2.83, 2 Pt 2.88-2.90
Pt1 0.0373 0.7767 0.6431 [18 per cell]  6 Pm 2.84-3.08
Cl1 0.0000 0.0000 0.0000 [3 per cell]  6 Pm 2.83

## Properties
For the uncorrected formation energy, the calculation gives -830 meV/atom. As for the spin magnetization: 0.00 μB/f.u. The total DFT energy (no corrections) comes out at -5.835 eV/atom.

=====

Entry 4:
VASP calculation (PBE-GGA) on a geometry-optimized NaGe3Pb structure.

Lattice parameters (Å, degrees): 5.5288 5.5288 5.5288 90.00 90.00 90.00
Closest atoms and distances in Å follow each position.
Space group Pm-3m (No. 221)
One atom of each set of equivalent atoms:
Na1 0.0000 0.0000 0.0000 [1 per cell]  12 Ge 3.91
Ge1 0.0000 0.5000 0.5000 [3 per cell]  2 Pb 2.76
Pb1 0.5000 0.5000 0.5000 [1 per cell]  6 Ge 2.76

## Properties
The formation energy from the elements comes out at 0.78 eV per atom. The energy relative to the lowest polymorph listed for this composition is 0 meV per atom. As for the spin magnetization: 0.00 μB/f.u. The total DFT energy (no corrections) comes out at -2.995 eV/atom.

=====

Entry 5:
VASP calculation (PBE-GGA) on a geometry-optimized CeSm2C2 structure.

Lattice parameters (Å, degrees): 11.7016 5.2501 7.3765 90.00 109.52 90.00
Closest atoms and distances in Å follow each position.
Space group C2/m (No. 12)
One atom of each set of equivalent atoms:
Ce1 0.1601 0.0000 0.0915 [4 per cell]  3 C 2.33-2.52
Sm1 0.0026 0.5000 0.7340 [4 per cell]  4 C 2.48-2.65
Sm2 0.1652 0.0000 0.5742 [4 per cell]  5 C 2.60-2.86
C1 0.0075 0.0000 0.2286 [4 per cell]  2 Ce 2.33-2.52, 1 Sm 2.60
C2 0.1720 0.5000 0.6024 [4 per cell]  1 Ce 2.45, 5 Sm 2.48-2.64

## Properties
The formation energy from the elements comes out at -0.09 eV per atom. The energy relative to the lowest polymorph listed for this composition is 53 meV per atom. As for the spin magnetization: 0.00 μB/f.u. The total DFT energy (no corrections) comes out at -6.850 eV/atom.

=====

Entry 6:
VASP calculation (PBE-GGA) on a geometry-optimized MgBeN2O structure.

Lattice parameters (Å, degrees): 3.2038 3.2038 4.6126 90.00 90.00 90.00
Closest atoms and distances in Å follow each position.
Space group P4/mmm (No. 123)
One atom of each set of equivalent atoms:
Mg1 0.0000 0.0000 0.0000 [1 per cell]  4 O 2.27
Be1 0.5000 0.5000 0.5000 [1 per cell]  4 N 1.60
N1 0.0000 0.5000 0.5000 [2 per cell]  2 Be 1.60
O1 0.5000 0.5000 0.0000 [1 per cell]  4 Mg 2.27, 2 Be 2.31

## Properties
For the uncorrected formation energy, the calculation gives 113 meV/atom. As for the spin magnetization: 1.42 μB/f.u. The total DFT energy (no corrections) comes out at -5.273 eV/atom.

=====

Entry 7:
VASP calculation (PBE-GGA) on a geometry-optimized Ac4La structure.

Lattice parameters (Å, degrees): 6.3038 6.3038 6.3038 90.00 90.00 90.00
Closest atoms and distances in Å follow each position.
Space group Pm-3m (No. 221)
One atom of each set of equivalent atoms:
Ac1 0.0000 0.0000 0.0000 [1 per cell]  12 Ac 4.46
Ac2 0.0000 0.5000 0.5000 [3 per cell]  2 La 3.15
La1 0.5000 0.5000 0.5000 [1 per cell]  6 Ac 3.15

## Properties
The formation energy from the elements comes out at 0.53 eV per atom. The energy relative to the lowest polymorph listed for this composition is 508 meV per atom. As for the spin magnetization: 1.29 μB/f.u. The total DFT energy (no corrections) comes out at -3.744 eV/atom.

=====

Entry 8:
VASP calculation (PBE-GGA) on a geometry-optimized Tm6CSe3S2 structure.

Lattice parameters (Å, degrees): 6.6826 11.5551 6.8508 90.00 108.86 90.00
Closest atoms and distances in Å follow each position.
Space group C2/m (No. 12)
One atom of each set of equivalent atoms:
Tm1 0.2237 0.1533 0.2125 [8 per cell]  1 C 2.47, 2 S 2.70
Tm2 0.2335 0.0000 0.7832 [4 per cell]  1 C 2.48, 2 S 2.71
C1 0.0000 0.0000 0.0000 [2 per cell]  6 Tm 2.47-2.48
Se1 0.0000 0.1728 0.5000 [4 per cell]  6 Tm 2.84-3.00
Se2 0.0000 0.5000 0.5000 [2 per cell]  6 Tm 2.84-3.03
S1 0.0000 0.3342 0.0000 [4 per cell]  6 Tm 2.70-2.71

## Properties
For the uncorrected formation energy, the calculation gives -1655 meV/atom. As for the spin magnetization: 0.00 μB/f.u. The total DFT energy (no corrections) comes out at -6.218 eV/atom.